Version 1
A geometry-optimized ReNi2Ru structure, computed with GGA-PBE.

Output
- DOS(E_F) (states/eV/cell) = 4.72

Cell: 2.6637 2.6637 7.2092 Å, 90.00 90.00 90.00°
Closest atoms and distances in Å follow each position.
Atoms (fractional coordinates):
Ru1 0.5000 0.5000 0.7605  4 Ni 2.60, 4 Ru 2.66, 4 Re 2.71
Ni1 0.5000 0.5000 0.2416  8 Ni 2.53-2.66, 4 Re 2.60
Ni2 0.0000 0.0000 0.0083  8 Ni 2.53-2.66, 4 Ru 2.60
Re1 0.0000 0.0000 0.4895  4 Ni 2.60, 4 Re 2.66, 4 Ru 2.71



Version 2
A geometry-optimized ReNi2Ru structure, computed with GGA-PBE.

Output
- DOS(E_F) (states/eV/cell) = 4.49

Cell: 3.6733 3.6741 3.7567 Å, 90.00 90.00 90.00°
Closest atoms and distances in Å follow each position.
Atoms (fractional coordinates):
Ni1 0.5000 0.5000 0.0000  4 Ni 2.60, 4 Ru 2.63, 4 Re 2.63
Ni2 0.0000 0.0000 0.0000  4 Ni 2.60, 4 Re 2.63, 4 Ru 2.63
Re1 0.5000 0.0000 0.5000  4 Ru 2.60, 8 Ni 2.63
Ru1 0.0000 0.5000 0.5000  4 Re 2.60, 8 Ni 2.63



Version 3
A geometry-optimized ReNi2Ru structure, computed with GGA-PBE.

Output
- DOS(E_F) (states/eV/cell) = 5.29

Cell: 8.5557 8.5557 8.5557 Å, 18.01 18.01 18.01°
Closest atoms and distances in Å follow each position.
Atoms (fractional coordinates):
Re1 0.5013 0.5013 0.5013  3 Ni 2.63, 3 Ru 2.66, 6 Re 2.68
Ru1 0.7491 0.7491 0.7491  3 Ni 2.64, 3 Re 2.66, 6 Ru 2.68
Ni1 0.9975 0.9975 0.9975  9 Ni 2.52-2.68, 3 Ru 2.64
Ni2 0.2522 0.2522 0.2522  9 Ni 2.52-2.68, 3 Re 2.63



Version 4
A geometry-optimized ReNi2Ru structure, computed with GGA-PBE.

Output
- DOS(E_F) (states/eV/cell) = 3.96

Cell: 4.5432 4.5432 4.5422 Å, 132.07 132.09 70.11°
Closest atoms and distances in Å follow each position.
Atoms (fractional coordinates):
Re1 0.5000 0.5000 0.0000  8 Ni 2.61-2.62, 4 Ru 2.62
Ru1 0.7501 0.2497 0.5000  8 Ni 2.61-2.62, 4 Re 2.62
Ni1 0.0001 0.9999 0.0000  4 Re 2.61, 4 Ni 2.62, 4 Ru 2.62
Ni2 0.2498 0.7502 0.5000  4 Ru 2.61, 4 Ni 2.62, 4 Re 2.62



The least stable of them is version 3.



Version 1
A geometry-optimized ReNi2Ru structure, computed with GGA-PBE.

Output
- DOS(E_F) (states/eV/cell) = 7.26

Cell: 4.1532 4.1532 4.1532 Å, 60.00 60.00 60.00°
Closest atoms and distances in Å follow each position.
Atoms (fractional coordinates):
Ni1 0.7500 0.7500 0.7500  4 Re 2.54, 4 Ru 2.54
Ni2 0.2500 0.2500 0.2500  4 Re 2.54, 4 Ru 2.54
Re1 0.0000 0.0000 0.0000  8 Ni 2.54
Ru1 0.5000 0.5000 0.5000  8 Ni 2.54



Version 2
A geometry-optimized ReNi2Ru structure, computed with GGA-PBE.

Output
- DOS(E_F) (states/eV/cell) = 3.80

Cell: 5.2728 5.2728 6.3764 Å, 65.58 65.58 90.00°
Closest atoms and distances in Å follow each position.
Atoms (fractional coordinates):
Ni1 0.3750 0.3773 0.7500  2 Ru 2.26, 2 Re 2.28
Ni2 0.8750 0.8727 0.7500  2 Ru 2.26, 2 Re 2.28
Ni3 0.1273 0.6250 0.2500  2 Ru 2.26, 2 Re 2.28
Ni4 0.6227 0.1250 0.2500  2 Ru 2.26, 2 Re 2.28
Ru1 0.2500 0.7500 0.5000  4 Ni 2.26
Ru2 0.5000 0.5000 0.0000  4 Ni 2.26
Re1 0.7500 0.2500 0.5000  4 Ni 2.28
Re2 0.0000 0.0000 0.0000  4 Ni 2.28



Version 3
A geometry-optimized ReNi2Ru structure, computed with GGA-PBE.

Output
- DOS(E_F) (states/eV/cell) = 4.90

Cell: 4.5173 4.5173 4.5548 Å, 80.02 80.02 34.29°
Closest atoms and distances in Å follow each position.
Atoms (fractional coordinates):
Re1 0.7500 0.7500 0.7500  6 Ni 2.60-2.61, 4 Ru 2.64, 2 Re 2.66
Ru1 0.2500 0.2500 0.2500  6 Ni 2.62-2.64, 4 Re 2.64, 2 Ru 2.66
Ni1 0.5004 0.5004 0.5067  6 Ni 2.58-2.69, 3 Re 2.60-2.61, 3 Ru 2.62-2.64
Ni2 0.9996 0.9996 0.9933  6 Ni 2.58-2.69, 3 Re 2.60-2.61, 3 Ru 2.62-2.64



The least stable of them is version 2.



Version 1
A geometry-optimized ReNi2Ru structure, computed with GGA-PBE.

Output
- DOS(E_F) (states/eV/cell) = 6.02

Cell: 4.3810 4.3810 2.6538 Å, 90.00 90.00 90.00°
Closest atoms and distances in Å follow each position.
Atoms (fractional coordinates):
Re1 0.5000 0.0000 0.5000  8 Ni 2.56, 2 Re 2.65
Ni1 0.5000 0.5000 0.0000  4 Re 2.56, 4 Ru 2.56, 2 Ni 2.65
Ni2 0.0000 0.0000 0.0000  4 Re 2.56, 4 Ru 2.56, 2 Ni 2.65
Ru1 0.0000 0.5000 0.5000  8 Ni 2.56, 2 Ru 2.65



Version 2
A geometry-optimized ReNi2Ru structure, computed with GGA-PBE.

Output
- DOS(E_F) (states/eV/cell) = 4.50

Cell: 4.0243 2.6033 4.9989 Å, 75.00 90.00 90.00°
Closest atoms and distances in Å follow each position.
Atoms (fractional coordinates):
Ru1 0.5000 0.8011 0.7715  7 Ni 2.50-2.67, 2 Ru 2.60, 4 Re 2.78-2.79
Re1 0.0000 0.4491 0.4777  7 Ni 2.51-2.66, 2 Re 2.60, 4 Ru 2.78-2.79
Ni1 0.0000 0.1884 0.9977  4 Ni 2.36-2.60, 1 Re 2.51, 4 Ru 2.63
Ni2 0.5000 0.0614 0.2530  4 Ni 2.36-2.60, 1 Ru 2.50, 4 Re 2.63



The least stable of them is version 1.



Version 1
A geometry-optimized ReNi2Ru structure, computed with GGA-PBE.

Output
- DOS(E_F) (states/eV/cell) = 6.77

Cell: 2.6044 2.6044 7.5076 Å, 90.00 90.00 90.00°
Closest atoms and distances in Å follow each position.
Atoms (fractional coordinates):
Ru1 0.5000 0.5000 0.7500  4 Ru 2.60, 8 Ni 2.62
Ni1 0.0000 0.0000 0.5015  4 Ni 2.60, 4 Ru 2.62, 4 Re 2.64
Ni2 0.0000 0.0000 0.9985  4 Ni 2.60, 4 Ru 2.62, 4 Re 2.64
Re1 0.5000 0.5000 0.2500  4 Re 2.60, 8 Ni 2.64



Version 2
A geometry-optimized ReNi2Ru structure, computed with GGA-PBE.

Output
- DOS(E_F) (states/eV/cell) = 6.86

Cell: 8.5943 8.5943 8.5943 Å, 17.79 17.79 17.79°
Closest atoms and distances in Å follow each position.
Atoms (fractional coordinates):
Ni1 0.5001 0.5001 0.5001  3 Re 2.61, 3 Ru 2.62, 6 Ni 2.66
Ni2 0.9999 0.9999 0.9999  3 Re 2.61, 3 Ru 2.62, 6 Ni 2.66
Ru1 0.7500 0.7500 0.7500  6 Ni 2.62, 6 Ru 2.66
Re1 0.2500 0.2500 0.2500  6 Ni 2.61, 6 Re 2.66



Version 3
A geometry-optimized ReNi2Ru structure, computed with GGA-PBE.

Output
- DOS(E_F) (states/eV/cell) = 6.23

Cell: 2.6689 3.7040 5.1762 Å, 90.00 90.00 90.00°
Closest atoms and distances in Å follow each position.
Atoms (fractional coordinates):
Ni1 0.5000 0.5000 0.2396  2 Ru 2.53-2.64, 6 Ni 2.56-2.67, 4 Re 2.64
Ni2 0.0000 0.0000 0.0143  2 Re 2.49-2.68, 6 Ni 2.56-2.67, 4 Ru 2.66
Re1 0.0000 0.0000 0.4958  6 Ni 2.49-2.68, 4 Ru 2.64, 2 Re 2.67
Ru1 0.5000 0.5000 0.7503  6 Ni 2.53-2.66, 4 Re 2.64, 2 Ru 2.67



The least stable of them is version 2.



Version 1
A geometry-optimized ReNi2Ru structure, computed with GGA-PBE.

Output
- DOS(E_F) (states/eV/cell) = 5.06

Cell: 4.5503 4.5503 4.5001 Å, 80.37 80.37 33.78°
Closest atoms and distances in Å follow each position.
Atoms (fractional coordinates):
Ni1 0.0008 0.0008 0.9867  4 Re 2.57-2.65, 5 Ni 2.57-2.64, 3 Ru 2.63-2.68
Ni2 0.7494 0.7494 0.7610  5 Ni 2.57-2.64, 4 Ru 2.58-2.64, 3 Re 2.63-2.67
Re1 0.4969 0.4969 0.4992  3 Ru 2.56-2.66, 7 Ni 2.57-2.67, 2 Re 2.64
Ru1 0.2530 0.2530 0.2532  3 Re 2.56-2.66, 7 Ni 2.58-2.68, 2 Ru 2.64



Version 2
A geometry-optimized ReNi2Ru structure, computed with GGA-PBE.

Output
- DOS(E_F) (states/eV/cell) = 5.73

Cell: 4.5799 4.5799 4.5808 Å, 132.85 132.85 68.88°
Closest atoms and distances in Å follow each position.
Atoms (fractional coordinates):
Re1 0.2500 0.7500 0.5000  4 Ru 2.59, 8 Ni 2.63
Ni1 0.0000 0.0000 0.0000  4 Ni 2.59, 4 Ru 2.63, 4 Re 2.63
Ni2 0.5000 0.5000 0.0000  4 Ni 2.59, 4 Ru 2.63, 4 Re 2.63
Ru1 0.7500 0.2500 0.5000  4 Re 2.59, 8 Ni 2.63



Version 3
A geometry-optimized ReNi2Ru structure, computed with GGA-PBE.

Output
- DOS(E_F) (states/eV/cell) = 6.35

Cell: 4.5386 4.5386 2.6353 Å, 90.00 90.00 110.53°
Closest atoms and distances in Å follow each position.
Atoms (fractional coordinates):
Ni1 0.5000 0.5000 0.0000  4 Ni 2.59-2.64, 4 Ru 2.62, 4 Re 2.62
Ni2 0.0000 0.0000 0.0000  4 Ni 2.59-2.64, 4 Re 2.62, 4 Ru 2.62
Ru1 0.0000 0.5000 0.5000  2 Re 2.59, 8 Ni 2.62, 2 Ru 2.64
Re1 0.5000 0.0000 0.5000  2 Ru 2.59, 8 Ni 2.62, 2 Re 2.64



Version 4
A geometry-optimized ReNi2Ru structure, computed with GGA-PBE.

Output
- DOS(E_F) (states/eV/cell) = 6.03

Cell: 4.1858 4.1858 4.1858 Å, 60.00 60.00 60.00°
Closest atoms and distances in Å follow each position.
Atoms (fractional coordinates):
Re1 0.5000 0.5000 0.5000  4 Ru 2.56, 4 Ni 2.56
Ru1 0.7500 0.7500 0.7500  4 Re 2.56, 4 Ni 2.56
Ni1 0.0000 0.0000 0.0000  4 Ru 2.56, 4 Ni 2.56
Ni2 0.2500 0.2500 0.2500  4 Re 2.56, 4 Ni 2.56



The least stable of them is version 4.



Version 1
A geometry-optimized Re3NiRu structure, computed with GGA-PBE.

Output
- DOS(E_F) (states/eV/cell) = 6.79

Cell: 4.6179 4.6179 4.6179 Å, 90.00 90.00 90.00°
Closest atoms and distances in Å follow each position.
Atoms (fractional coordinates):
Re1 0.5000 0.0000 0.0000  2 Ru 2.31
Re2 0.0000 0.0000 0.5000  2 Ru 2.31
Re3 0.0000 0.5000 0.0000  2 Ru 2.31
Ni1 0.5000 0.5000 0.5000  12 Re 3.27
Ru1 0.0000 0.0000 0.0000  6 Re 2.31



Version 2
A geometry-optimized Re3NiRu structure, computed with GGA-PBE.

Output
- DOS(E_F) (states/eV/cell) = 8.24

Cell: 4.3597 4.3597 4.3597 Å, 90.00 90.00 90.00°
Closest atoms and distances in Å follow each position.
Atoms (fractional coordinates):
Ni1 0.0000 0.0000 0.0000  6 Re 2.18
Re1 0.5000 0.0000 0.0000  2 Ni 2.18
Re2 0.0000 0.5000 0.0000  2 Ni 2.18
Re3 0.0000 0.0000 0.5000  2 Ni 2.18
Ru1 0.5000 0.5000 0.5000  12 Re 3.08



The least stable of them is version 1.



Version 1
A geometry-optimized ReNiS3 structure, computed with GGA-PBE.

Output
- DOS(E_F) (states/eV/cell) = 7.85

Cell: 4.6022 4.6022 4.6022 Å, 90.00 90.00 90.00°
Closest atoms and distances in Å follow each position.
Atoms (fractional coordinates):
S1 0.0000 0.5000 0.0000  2 Re 2.30
S2 0.5000 0.0000 0.0000  2 Re 2.30
S3 0.0000 0.0000 0.5000  2 Re 2.30
Re1 0.0000 0.0000 0.0000  6 S 2.30
Ni1 0.5000 0.5000 0.5000  12 S 3.25



Version 2
A geometry-optimized ReNiS3 structure, computed with GGA-PBE.

Output
- DOS(E_F) (states/eV/cell) = 6.83

Cell: 3.1664 8.6003 8.1283 Å, 115.20 90.00 100.61°
Closest atoms and distances in Å follow each position.
Atoms (fractional coordinates):
Re1 0.8178 0.6356 0.1132  5 S 2.34-2.46
Re2 0.1822 0.3644 0.8868  5 S 2.34-2.46
Ni1 0.4512 0.9023 0.5806  4 S 2.17-2.21
Ni2 0.5488 0.0977 0.4194  4 S 2.17-2.21
S1 0.0212 0.0425 0.7717  2 Ni 2.17
S2 0.8546 0.7093 0.4348  2 Ni 2.21, 1 Re 2.41
S3 0.1454 0.2907 0.5652  2 Ni 2.21, 1 Re 2.41
S4 0.3263 0.6525 0.9095  3 Re 2.34-2.36
S5 0.6737 0.3475 0.0905  3 Re 2.34-2.36
S6 0.9788 0.9575 0.2283  2 Ni 2.17



The least stable of them is version 1.



Version 1
A geometry-optimized Re3NiSb structure, computed with GGA-PBE.

Output
- DOS(E_F) (states/eV/cell) = 7.57

Cell: 4.5013 4.5013 4.5013 Å, 90.00 90.00 90.00°
Closest atoms and distances in Å follow each position.
Atoms (fractional coordinates):
Sb1 0.5000 0.5000 0.5000  12 Re 3.18
Re1 0.5000 0.0000 0.0000  2 Ni 2.25
Re2 0.0000 0.5000 0.0000  2 Ni 2.25
Re3 0.0000 0.0000 0.5000  2 Ni 2.25
Ni1 0.0000 0.0000 0.0000  6 Re 2.25



Version 2
A geometry-optimized Re3NiSb structure, computed with GGA-PBE.

Output
- DOS(E_F) (states/eV/cell) = 7.97

Cell: 4.7978 4.7978 4.7978 Å, 90.00 90.00 90.00°
Closest atoms and distances in Å follow each position.
Atoms (fractional coordinates):
Sb1 0.0000 0.0000 0.0000  6 Re 2.40
Ni1 0.5000 0.5000 0.5000  12 Re 3.39
Re1 0.0000 0.0000 0.5000  2 Sb 2.40
Re2 0.0000 0.5000 0.0000  2 Sb 2.40
Re3 0.5000 0.0000 0.0000  2 Sb 2.40



The least stable of them is version 2.



Version 1
A geometry-optimized Sc2ReNi2 structure, computed with GGA-PBE.

Output
- DOS(E_F) (states/eV/cell) = 4.99

Cell: 3.2680 3.2680 8.0695 Å, 78.32 78.32 90.00°
Closest atoms and distances in Å follow each position.
Atoms (fractional coordinates):
Ni1 0.2500 0.7500 0.5000  4 Ni 2.31
Ni2 0.7500 0.2500 0.5000  4 Ni 2.31
Sc1 0.3949 0.3949 0.2102  4 Ni 2.77, 4 Re 2.83
Sc2 0.6051 0.6051 0.7898  4 Ni 2.77, 4 Re 2.83
Re1 0.0000 0.0000 0.0000  8 Sc 2.83



Version 2
A geometry-optimized Sc2ReNi2 structure, computed with GGA-PBE.

Output
- DOS(E_F) (states/eV/cell) = 10.69

Cell: 6.4671 6.4671 3.8213 Å, 90.00 90.00 90.00°
Closest atoms and distances in Å follow each position.
Atoms (fractional coordinates):
Sc1 0.1774 0.6774 0.5000  6 Ni 2.61-2.77
Sc2 0.8226 0.3226 0.5000  6 Ni 2.61-2.77
Sc3 0.3226 0.1774 0.5000  6 Ni 2.61-2.77
Sc4 0.6774 0.8226 0.5000  6 Ni 2.61-2.77
Ni1 0.6285 0.1285 0.0000  1 Ni 2.35, 2 Re 2.54, 2 Sc 2.61
Ni2 0.1285 0.3715 0.0000  1 Ni 2.35, 2 Re 2.54, 2 Sc 2.61
Ni3 0.3715 0.8715 0.0000  1 Ni 2.35, 2 Re 2.54, 2 Sc 2.61
Ni4 0.8715 0.6285 0.0000  1 Ni 2.35, 2 Re 2.54, 2 Sc 2.61
Re1 0.0000 0.0000 0.0000  4 Ni 2.54
Re2 0.5000 0.5000 0.0000  4 Ni 2.54



Version 3
A geometry-optimized Sc2ReNi2 structure, computed with GGA-PBE.

Output
- DOS(E_F) (states/eV/cell) = 7.36

Cell: 7.3669 7.3669 2.8529 Å, 90.00 90.00 90.00°
Closest atoms and distances in Å follow each position.
Atoms (fractional coordinates):
Ni1 0.6391 0.8609 0.5000  6 Sc 2.54-2.63
Ni2 0.1391 0.6391 0.5000  6 Sc 2.54-2.63
Ni3 0.8609 0.3609 0.5000  6 Sc 2.54-2.63
Ni4 0.3609 0.1391 0.5000  6 Sc 2.54-2.63
Sc1 0.8406 0.6594 0.0000  6 Ni 2.54-2.63, 2 Re 2.77
Sc2 0.3406 0.8406 0.0000  6 Ni 2.54-2.63, 2 Re 2.77
Sc3 0.6594 0.1594 0.0000  6 Ni 2.54-2.63, 2 Re 2.77
Sc4 0.1594 0.3406 0.0000  6 Ni 2.54-2.63, 2 Re 2.77
Re1 0.0000 0.0000 0.0000  4 Sc 2.77, 2 Re 2.85
Re2 0.5000 0.5000 0.0000  4 Sc 2.77, 2 Re 2.85



The least stable of them is version 3.



Version 1
A geometry-optimized ScReNi2 structure, computed with GGA-PBE.

Output
- DOS(E_F) (states/eV/cell) = 6.00

Cell: 4.4679 4.4679 2.7969 Å, 90.00 90.00 90.00°
Closest atoms and distances in Å follow each position.
Atoms (fractional coordinates):
Ni1 0.0000 0.0000 0.0000  4 Re 2.64, 4 Sc 2.64, 2 Ni 2.80
Ni2 0.5000 0.5000 0.0000  4 Sc 2.64, 4 Re 2.64, 2 Ni 2.80
Sc1 0.0000 0.5000 0.5000  8 Ni 2.64, 2 Sc 2.80
Re1 0.5000 0.0000 0.5000  8 Ni 2.64, 2 Re 2.80



Version 2
A geometry-optimized ScReNi2 structure, computed with GGA-PBE.

Output
- DOS(E_F) (states/eV/cell) = 3.98

Cell: 6.1023 4.6252 2.6998 Å, 90.03 63.69 122.03°
Closest atoms and distances in Å follow each position.
Atoms (fractional coordinates):
Sc1 0.5000 0.5000 0.0000  8 Ni 2.68, 2 Sc 2.70, 2 Re 2.74
Ni1 0.5000 0.0000 0.5000  4 Sc 2.68, 4 Re 2.68, 4 Ni 2.70-2.74
Ni2 0.0000 0.0000 0.0000  4 Re 2.68, 4 Sc 2.68, 4 Ni 2.70-2.74
Re1 0.0000 0.5000 0.5000  8 Ni 2.68, 2 Re 2.70, 2 Sc 2.74



The least stable of them is version 1.



Version 1
A geometry-optimized ScReNi2 structure, computed with GGA-PBE.

Output
- DOS(E_F) (states/eV/cell) = 3.85

Cell: 2.9919 3.1546 6.0230 Å, 90.00 90.00 90.00°
Closest atoms and distances in Å follow each position.
Atoms (fractional coordinates):
Re1 0.0000 0.0000 0.4544  5 Ni 2.52-2.55
Sc1 0.5000 0.5000 0.7720  5 Ni 2.68-2.83, 4 Re 2.90, 2 Sc 2.99
Ni1 0.5000 0.5000 0.2419  4 Ni 2.52, 4 Re 2.52
Ni2 0.0000 0.0000 0.0317  4 Ni 2.52, 1 Re 2.55, 4 Sc 2.68



Version 2
A geometry-optimized ScReNi2 structure, computed with GGA-PBE.

Output
- DOS(E_F) (states/eV/cell) = 3.54

Cell: 4.3075 4.3075 4.3075 Å, 60.00 60.00 60.00°
Closest atoms and distances in Å follow each position.
Atoms (fractional coordinates):
Sc1 0.2500 0.2500 0.2500  4 Re 2.64, 4 Ni 2.64
Ni1 0.0000 0.0000 0.0000  4 Ni 2.64, 4 Sc 2.64
Ni2 0.7500 0.7500 0.7500  4 Ni 2.64, 4 Re 2.64
Re1 0.5000 0.5000 0.5000  4 Sc 2.64, 4 Ni 2.64



The least stable of them is version 2.